Record 1
This record from the Alexandria database describes an optimized crystal structure of FeSiNi3. The functional is PBE-GGA.

extended XYZ file:
```
5
Lattice="-0.379 2.959 -3.041 -4.043 0.675 1.161 1.288 2.989 2.748" Properties=species:S:1:pos:R:3 pbc="T T T"
Ni -2.021 0.338 0.580
Ni 0.644 1.495 1.374
Ni -0.189 1.479 -1.521
Si -1.566 3.312 0.434
Fe 0.000 0.000 0.000
```

For the spin magnetization, the calculation gives 0.914 μB per atom. As for the space-group type: Pm-3m (221). The total energy is -25.9 eV/f.u. Its energy above the lowest structure with this stoichiometry is 0.533 eV/atom. The formation energy from raw total energies comes out at 1.07 eV/atom.

=====

Record 2
This record from the Alexandria database describes an optimized crystal structure of CeHf2Nb. The functional is PBE-GGA.

extended XYZ file:
```
4
Lattice="-0.388 -0.387 -3.090 -0.873 -2.793 -1.135 -10.558 1.732 -0.487" Properties=species:S:1:pos:R:3 pbc="T T T"
Nb 0.000 0.000 0.000
Hf -2.744 -0.420 -1.197
Hf -9.074 -1.028 -3.515
Ce -5.909 -0.724 -2.356
```

For the spin magnetization, the calculation gives 0.000 μB per atom. As for the space-group type: R-3m (166). The total energy is -35.1 eV/f.u. Its energy above the lowest structure with this stoichiometry is 0.076 eV/atom. The formation energy is 0.8 eV/f.u.

=====

Record 3
This record from the Alexandria database describes an optimized crystal structure of MnCdP2Pb. The functional is PBE-GGA.

extended XYZ file:
```
5
Lattice="-3.557 2.063 -1.353 -1.860 0.404 5.503 2.043 3.794 0.412" Properties=species:S:1:pos:R:3 pbc="T T T"
Pb -0.930 0.202 2.752
P 1.022 1.897 0.206
P -1.778 1.031 -0.677
Mn 0.000 0.000 0.000
Cd -1.687 3.130 2.281
```

For the spin magnetization, the calculation gives 0.210 μB per atom. As for the space-group type: P4/mmm (123). The total energy is -23.3 eV/f.u. The formation energy is 1.4 eV/f.u.

=====

Record 4
This record from the Alexandria database describes an optimized crystal structure of Tl2SbPb. The functional is PBE-GGA.

extended XYZ file:
```
4
Lattice="3.420 0.050 0.000 -0.876 3.306 0.000 0.000 0.000 10.833" Properties=species:S:1:pos:R:3 pbc="T T T"
Pb 0.000 0.000 5.551
Sb 1.272 1.678 8.089
Tl 0.000 0.000 10.719
Tl 1.272 1.678 2.724
```

For the spin magnetization, the calculation gives 0.000 μB per atom. As for the space-group type: Cmm2 (35). The total energy is -12.4 eV/f.u. Its energy above the lowest structure with this stoichiometry is 0.056 eV/atom. The formation energy from raw total energies comes out at 0.05 eV/atom.

=====

Record 5
This record from the Alexandria database describes an optimized crystal structure of CeDy12Tl3. The functional is PBE-GGA.

extended XYZ file:
```
16
Lattice="-3.106 -3.184 1.940 0.044 -2.556 -4.125 15.250 -10.726 6.808" Properties=species:S:1:pos:R:3 pbc="T T T"
Ce 0.000 0.000 0.000
Dy -1.531 -2.870 -1.092
Dy 2.351 -5.601 0.641
Dy 6.094 -8.233 2.312
Dy 9.837 -10.866 3.983
Dy 0.417 -2.977 1.849
Dy 4.192 -5.633 3.535
Dy 7.952 -8.277 5.213
Dy 11.728 -10.933 6.899
Dy 1.991 -2.663 -1.183
Dy 5.767 -5.319 0.502
Dy 9.527 -7.963 2.181
Dy 13.302 -10.619 3.866
Tl 3.903 -2.745 1.742
Tl 7.625 -5.363 3.404
Tl 11.348 -7.981 5.066
```

For the spin magnetization, the calculation gives 0.095 μB per atom. As for the space-group type: P4/mmm (123). The total energy is -70.0 eV/f.u. The formation energy is -1.8 eV/f.u.

=====

Record 6
This record from the Alexandria database describes an optimized crystal structure of Y2PdSe. The functional is PBE-GGA.

extended XYZ file:
```
4
Lattice="4.000 0.000 0.000 2.000 3.465 0.000 2.000 1.155 7.137" Properties=species:S:1:pos:R:3 pbc="T T T"
Y 2.000 1.155 1.696
Y 6.001 3.465 5.441
Se 4.000 2.310 3.569
Pd 0.000 0.000 0.000
```

For the spin magnetization, the calculation gives 0.000 μB per atom. As for the space-group type: R-3m (166). The total energy is -26.6 eV/f.u. The formation energy from raw total energies comes out at -1.25 eV/atom.

=====

Record 7
This record from the Alexandria database describes an optimized crystal structure of AgMoP2. The functional is PBE-GGA.

extended XYZ file:
```
8
Lattice="5.648 0.000 0.000 0.000 5.648 0.000 2.824 2.824 5.431" Properties=species:S:1:pos:R:3 pbc="T T T"
P 4.067 1.412 1.358
P 1.581 4.236 1.358
P 4.236 4.405 4.074
P 7.060 6.891 4.074
Mo 2.824 2.824 0.000
Mo 2.824 5.648 2.716
Ag 0.000 0.000 0.000
Ag 5.648 2.824 2.716
```

For the spin magnetization, the calculation gives 0.000 μB per atom. As for the space-group type: I-42d (122). The total energy is -23.7 eV/f.u. Its energy above the lowest structure with this stoichiometry is 0.267 eV/atom. The formation energy is 0.8 eV/f.u.

=====

Record 8
This record from the Alexandria database describes an optimized crystal structure of Ac2ZnPPd6. The functional is PBE-GGA.

extended XYZ file:
```
10
Lattice="-1.994 -5.323 0.269 4.403 -1.980 -6.538 4.852 -4.899 -0.769" Properties=species:S:1:pos:R:3 pbc="T T T"
Ac 2.262 -7.029 -1.949
Ac 4.998 -5.173 -5.089
Zn 0.000 0.000 0.000
P 1.204 -3.651 -3.135
Pd 2.467 -4.022 -1.116
Pd 6.538 -10.341 -5.390
Pd 7.544 -7.653 -5.525
Pd -0.284 -4.549 -1.513
Pd 0.722 -1.861 -1.648
Pd 4.793 -8.180 -5.922
```

For the spin magnetization, the calculation gives 0.000 μB per atom. As for the space-group type: C2/m (12). The total energy is -53.6 eV/f.u. The formation energy is -7.5 eV/f.u.

=====

Please write out number 8 again, unchanged.
This record from the Alexandria database describes an optimized crystal structure of Ac2ZnPPd6. The functional is PBE-GGA.

extended XYZ file:
```
10
Lattice="-1.994 -5.323 0.269 4.403 -1.980 -6.538 4.852 -4.899 -0.769" Properties=species:S:1:pos:R:3 pbc="T T T"
Ac 2.262 -7.029 -1.949
Ac 4.998 -5.173 -5.089
Zn 0.000 0.000 0.000
P 1.204 -3.651 -3.135
Pd 2.467 -4.022 -1.116
Pd 6.538 -10.341 -5.390
Pd 7.544 -7.653 -5.525
Pd -0.284 -4.549 -1.513
Pd 0.722 -1.861 -1.648
Pd 4.793 -8.180 -5.922
```

For the spin magnetization, the calculation gives 0.000 μB per atom. As for the space-group type: C2/m (12). The total energy is -53.6 eV/f.u. The formation energy is -7.5 eV/f.u.